! LaDy2Y5, optimized geometry, DFT GGA-PBE; values from VASP
! **Magnetic moment**: 0.0 μB per formula unit
! **Formation energy from the elements**: 0.03 eV per atom
! **SG**: Pbam
! **Offset from the most stable computed form**: 3.3 meV per atom
&SYSTEM
  ibrav = 0, nat = 16, ntyp = 3
/
ATOMIC_SPECIES
La 138.91 La.upf
Dy 162.50 Dy.upf
Y 88.91 Y.upf
ATOMIC_POSITIONS angstrom
La 0.000 0.000 0.000
La 3.592 7.190 0.000
Dy 1.792 5.379 2.530
Dy 1.800 12.569 2.530
Dy 5.384 1.811 2.530
Dy 5.391 9.001 2.530
Y 0.003 3.619 0.000
Y 0.000 7.190 0.000
Y 7.180 10.761 0.000
Y 1.791 9.006 2.530
Y 1.800 1.816 2.530
Y 3.592 0.000 0.000
Y 3.595 3.571 0.000
Y 3.589 10.809 0.000
Y 5.383 12.564 2.530
Y 5.392 5.374 2.530
CELL_PARAMETERS angstrom
7.183 0.000 0.000
0.000 14.380 0.000
0.000 0.000 5.060